LiTiHRh2: optimized geometry, PBE.

Results
M_tot, μB/cell: 0.00
Electronic total energy, eV/atom: -6.0823
Fermi-level density of states, states/eV/cell: 1.12

Cell lengths 4.056, 4.056, 3.421 Å; angles 90.00, 90.00, 90.00 degrees
Positions (direct):
H 0.000 0.000 0.000
Ti 0.500 0.500 0.500
Rh 0.500 0.000 0.000
Rh 0.000 0.500 0.000
Li 0.000 0.000 0.500

---

LiTl2H6Rh: optimized geometry, PBE.

Results
M_tot, μB/cell: 0.00
Electronic total energy, eV/atom: -3.5007
Fermi-level density of states, states/eV/cell: 0.00

Cell lengths 4.994, 5.472, 5.472 Å; angles 120.00, 90.00, 90.00 degrees
Positions (direct):
H 0.194 0.856 0.144
H 0.806 0.711 0.856
H 0.194 0.289 0.144
H 0.806 0.144 0.856
Rh 0.000 0.000 0.000
H 0.806 0.144 0.289
H 0.194 0.856 0.711
Tl 0.733 0.667 0.333
Li 0.500 0.000 0.000
Tl 0.267 0.333 0.667

---

LiTlH6Rh: optimized geometry, PBE.

Results
M_tot, μB/cell: 0.00
Electronic total energy, eV/atom: -3.5762
Fermi-level density of states, states/eV/cell: 0.82

Cell lengths 4.748, 5.047, 4.861 Å; angles 81.76, 73.00, 63.50 degrees
Positions (direct):
Li 0.667 0.667 0.579
H 0.155 0.238 0.348
H 0.518 0.557 0.274
H 0.213 0.362 0.221
Rh 0.416 0.305 0.480
H 0.345 0.055 0.731
Tl 0.898 0.954 0.012
H 0.667 0.282 0.658
H 0.120 0.580 0.696

---

Li2Tl2H4Rh: optimized geometry, PBE.

Results
M_tot, μB/cell: 0.00
Electronic total energy, eV/atom: -3.1869
Fermi-level density of states, states/eV/cell: 2.36

Cell lengths 5.719, 5.719, 5.719 Å; angles 87.38, 121.52, 121.52 degrees
Positions (direct):
H 0.000 0.215 0.785
Rh 0.000 0.000 0.000
Li 0.500 0.250 0.750
Li 0.500 0.750 0.250
H 0.569 0.785 0.785
H 0.431 0.215 0.215
Tl 0.000 0.327 0.327
Tl 0.000 0.673 0.673
H 0.000 0.785 0.215

---

LiVHRh2: optimized geometry, PBE.

Results
M_tot, μB/cell: 1.01
Electronic total energy, eV/atom: -6.0333
Fermi-level density of states, states/eV/cell: 4.49

Cell lengths 3.999, 3.999, 3.424 Å; angles 90.00, 90.00, 90.00 degrees
Each line ends with the local moment (μB).
Positions (direct):
V 0.500 0.500 0.500  1.07
Rh 0.500 0.000 0.000  -0.08
Rh 0.000 0.500 0.000  -0.08
H 0.000 0.000 0.000  0.00
Li 0.000 0.000 0.500  0.00

---

LiHRhW2: optimized geometry, PBE.

Results
M_tot, μB/cell: 0.00
Electronic total energy, eV/atom: -6.4393
Fermi-level density of states, states/eV/cell: 3.65

Cell lengths 4.973, 3.014, 4.973 Å; angles 90.00, 90.00, 90.00 degrees
Positions (direct):
Rh 0.000 0.000 0.000
W 0.000 0.000 0.500
Li 0.500 0.500 0.500
W 0.500 0.000 0.000
H 0.000 0.500 0.000

---

LiY2HRh: optimized geometry, PBE.

Results
M_tot, μB/cell: 0.00
Electronic total energy, eV/atom: -4.5690
Fermi-level density of states, states/eV/cell: 5.19

Cell lengths 5.210, 3.964, 5.210 Å; angles 90.00, 90.00, 90.00 degrees
Positions (direct):
Li 0.000 0.000 0.000
Y 0.000 0.000 0.500
Y 0.500 0.000 0.000
H 0.500 0.500 0.500
Rh 0.000 0.500 0.000

---

LiY2HRh: optimized geometry, PBE.

Results
M_tot, μB/cell: 0.00
Electronic total energy, eV/atom: -5.6200
Fermi-level density of states, states/eV/cell: 2.33

Cell lengths 4.896, 4.896, 3.576 Å; angles 90.00, 90.00, 90.00 degrees
Positions (direct):
Y 0.500 0.000 0.000
Rh 0.500 0.500 0.500
Li 0.000 0.000 0.500
Y 0.000 0.500 0.000
H 0.000 0.000 0.000